Record 1
A geometry-optimized HoCd3Pd3 structure. Source: Alexandria, functional GGA-PBE.

Energy of formation, eV/atom: -0.48
Uncorrected energy, eV per atom: -3.750

Cell: 5.705 5.705 5.705 Å, 109.51 109.51 109.51°
Atoms (fractional coordinates):
Pd1 0.043 0.043 0.543
Pd2 0.543 0.043 0.043
Ho1 0.042 0.042 0.042
Cd1 0.043 0.543 0.543
Cd2 0.543 0.043 0.543
Cd3 0.543 0.543 0.043
Pd3 0.043 0.543 0.043

***

Record 2
A geometry-optimized Sn2Pb2Se3Cl2 structure. Source: Alexandria, functional GGA-PBE.

Raw formation energy, meV per atom: -461
Uncorrected energy, eV per atom: -3.747

Cell: 5.947 5.947 8.527 Å, 110.41 110.41 90.00°
Atoms (fractional coordinates):
Pb1 0.215 0.215 0.430
Se1 0.000 0.000 0.000
Cl1 0.597 0.597 0.194
Se2 0.250 0.750 0.500
Sn1 0.000 0.500 0.000
Sn2 0.500 0.000 0.000
Cl2 0.403 0.403 0.806
Pb2 0.785 0.785 0.570
Se3 0.750 0.250 0.500

***

Record 3
A geometry-optimized NaPd2Se2 structure. Source: Alexandria, functional GGA-PBE.

Raw formation energy, meV per atom: -426
Uncorrected energy, eV per atom: -4.161

Cell: 4.877 4.877 5.660 Å, 64.48 64.48 90.00°
Atoms (fractional coordinates):
Pd1 0.665 0.665 0.671
Na1 0.000 0.000 0.000
Se1 0.250 0.750 0.500
Pd2 0.335 0.335 0.329
Se2 0.750 0.250 0.500

***

> Among the records above, which one has the lowest uncorrected energy?

NaPd2Se2